A plane-wave DFT calculation with GGA-PBE was carried out for a relaxed Sm8Te4Pt3S crystal.

```
16
Lattice="-6.8333 -4.5828 1.9959 5.1001 -7.1178 1.1177 1.8130 7.0207 4.3709" Properties=species:S:1:pos:R:3 pbc="T T T"
Sm 3.7792 0.6429 5.5491
Sm 2.8840 -2.8236 3.3906
Sm 0.6331 0.4278 3.1499
Sm 0.4054 -1.6199 6.5345
Sm -0.3256 -3.0600 0.9499
Sm -0.5533 -5.1077 4.3345
Sm -2.8042 -1.8563 4.0938
Sm -3.6994 -5.3228 1.9353
Te -3.4166 -2.2914 0.9979
Te -2.5102 1.2190 3.1834
Te 0.0000 0.0000 0.0000
Te 0.9065 3.5104 2.1854
Pt -0.8666 -5.8503 1.5568
Pt 0.0399 -2.3400 3.7422
Pt 3.4565 -0.0485 2.7443
S 2.5501 -3.5589 0.5588
```

- density (Mg/m³) = 8.481
- raw total energy (eV/cell) = -94.42
- E_form (uncorrected) (eV per atom) = -1.366
- Fermi-level density of states (states/eV/f.u.) = 11.97
- space-group type = R-3m (166)

=====

A plane-wave DFT calculation with GGA-PBE was carried out for a relaxed CsTmRuO6 crystal.

```
9
Lattice="5.6122 0.0000 0.0001 2.8062 4.8601 0.0001 0.0001 -0.0003 6.5165" Properties=species:S:1:pos:R:3 pbc="T T T"
Cs 5.6122 -0.0003 6.5165
Tm 5.6121 3.2399 3.2582
Ru 2.8061 1.6199 3.2582
O 1.2989 1.8381 2.1448
O 2.2414 0.2055 4.3717
O 4.3132 1.8381 4.3717
O 1.8635 2.8162 4.3716
O 3.7487 2.8161 2.1448
O 3.3707 0.2056 2.1448
```

- density (Mg/m³) = 4.661
- raw total energy (eV/cell) = -58.29
- E_form (uncorrected) (eV per atom) = -1.548
- space-group type = P312 (149)

=====

A plane-wave DFT calculation with GGA-PBE was carried out for a relaxed PmAl3Ni crystal.

```
5
Lattice="-1.7442 4.2023 -0.4422 -2.9490 -0.8680 3.3833 3.0262 1.5762 3.0421" Properties=species:S:1:pos:R:3 pbc="T T T"
Ni 0.0000 0.0000 0.0000
Al -1.4745 -0.4340 1.6917
Al 1.5131 0.7881 1.5211
Al -0.8721 2.1011 -0.2211
Pm -0.8335 2.4552 2.9916
```

- density (Mg/m³) = 4.948
- ΔH_f (0 K) (kJ per mole of atoms) = -35.5
- ΔE to the lowest computed polymorph (kcal/mol of atoms) = 5.00
- raw total energy (eV/cell) = -23.60
- Fermi-level density of states (states/eV/f.u.) = 2.08
- space-group type = Pm-3m (221)

=====

no.,spin magnetization (μB per cell)
1,0.0
2,0.0
3,0.0